# 1
16
Lattice="8.429 -0.516 0.000 -3.779 7.552 0.000 0.000 0.000 13.814" Properties=species:S:1:pos:R:3 comment="BaSr14Pr, optimized geometry, DFT PBE" dos_at_fermi_per_ev_cell=22.268 sg="Amm2, No. 38" energy_ev_per_atom=-1.85 pbc="T T T"
Sr 6.901 0.493 10.389
Sr 2.701 0.795 3.516
Sr 2.971 5.605 0.000
Sr 4.977 4.240 3.516
Sr -1.383 3.422 6.907
Sr 6.901 0.493 3.425
Sr 4.862 1.841 0.000
Sr 4.977 4.240 10.298
Sr 0.830 4.506 3.546
Sr -1.237 5.872 0.000
Sr 2.701 0.795 10.298
Sr 0.960 6.967 6.907
Sr 0.830 4.506 10.268
Sr 0.658 2.106 0.000
Pr 2.823 3.189 6.907
Ba -3.270 7.216 6.907


# 2
4
Lattice="-1.502 3.923 1.400 -2.330 0.442 -3.739 -8.050 -4.676 4.464" Properties=species:S:1:pos:R:3 comment="BaSr2Pr, optimized geometry, DFT PBE" dos_at_fermi_per_ev_cell=4.748 sg="P4/mmm, No. 123" energy_ev_per_atom=-2.40 pbc="T T T"
Ba -5.941 -0.155 1.062
Sr -1.753 -1.018 0.972
Sr -6.298 -3.658 3.492
Pr -1.916 2.183 -1.170


# 3
6
Lattice="7.200 0.000 0.000 3.600 6.235 0.000 3.600 2.078 5.879" Properties=species:S:1:pos:R:3 comment="BaSrPr4, optimized geometry, DFT PBE" dos_at_fermi_per_ev_cell=12.877 sg="F-43m, No. 216" energy_ev_per_atom=-3.58 pbc="T T T"
Pr 7.200 2.053 3.683
Pr 7.200 4.157 0.708
Pr 9.022 5.209 3.683
Pr 5.378 5.209 3.683
Sr 0.000 0.000 0.000
Ba 3.600 2.078 1.470


What did the first record say?
16
Lattice="8.429 -0.516 0.000 -3.779 7.552 0.000 0.000 0.000 13.814" Properties=species:S:1:pos:R:3 comment="BaSr14Pr, optimized geometry, DFT PBE" dos_at_fermi_per_ev_cell=22.268 sg="Amm2, No. 38" energy_ev_per_atom=-1.85 pbc="T T T"
Sr 6.901 0.493 10.389
Sr 2.701 0.795 3.516
Sr 2.971 5.605 0.000
Sr 4.977 4.240 3.516
Sr -1.383 3.422 6.907
Sr 6.901 0.493 3.425
Sr 4.862 1.841 0.000
Sr 4.977 4.240 10.298
Sr 0.830 4.506 3.546
Sr -1.237 5.872 0.000
Sr 2.701 0.795 10.298
Sr 0.960 6.967 6.907
Sr 0.830 4.506 10.268
Sr 0.658 2.106 0.000
Pr 2.823 3.189 6.907
Ba -3.270 7.216 6.907


- Number 2 is which compound?
  BaSr2Pr


- Which formula does entry 1 have?
  BaSr14Pr


- Number 3 is which compound?
  BaSrPr4